# 1
Here is a relaxed structure of GdPtRhAu from Alexandria via LeMat-Bulk. Energies are from PBE.

Computed properties:
VASP energy = -8.261 eV/atom
space-group type = F-43m
ΔH_f (0 K) = -573 meV per atom
total magnetic moment = 7.10 μB per cell

```
data_GdPtRhAu
_chemical_formula_sum 'Gd1 Pt1 Rh1 Au1'
_symmetry_space_group_name_H-M 'P 1'
_symmetry_Int_Tables_number 1
_cell_length_a 4.722
_cell_length_b 4.722
_cell_length_c 4.722
_cell_angle_alpha 60.00
_cell_angle_beta 60.00
_cell_angle_gamma 60.00
loop_
_symmetry_equiv_pos_as_xyz
'x,y,z'
loop_
_atom_site_label
_atom_site_type_symbol
_atom_site_fract_x
_atom_site_fract_y
_atom_site_fract_z
Gd1 Gd 0.250 0.250 0.250
Pt1 Pt 0.500 0.500 0.500
Rh1 Rh 0.000 0.000 0.000
Au1 Au 0.750 0.750 0.750
```

***

# 2
Here is a relaxed structure of SmGdPtAu from Alexandria via LeMat-Bulk. Energies are from PBE.

Computed properties:
VASP energy = -8.001 eV/atom
space-group type = F-43m
ΔH_f (0 K) = -972 meV per atom
total magnetic moment = 7.14 μB per cell

```
data_SmGdPtAu
_chemical_formula_sum 'Sm1 Gd1 Pt1 Au1'
_symmetry_space_group_name_H-M 'P 1'
_symmetry_Int_Tables_number 1
_cell_length_a 5.088
_cell_length_b 5.088
_cell_length_c 5.088
_cell_angle_alpha 60.00
_cell_angle_beta 60.00
_cell_angle_gamma 60.00
loop_
_symmetry_equiv_pos_as_xyz
'x,y,z'
loop_
_atom_site_label
_atom_site_type_symbol
_atom_site_fract_x
_atom_site_fract_y
_atom_site_fract_z
Sm1 Sm 0.000 0.000 0.000
Gd1 Gd 0.500 0.500 0.500
Au1 Au 0.250 0.250 0.250
Pt1 Pt 0.750 0.750 0.750
```

***

# 3
Here is a relaxed structure of SrGdPtAu from Alexandria via LeMat-Bulk. Energies are from PBE.

Computed properties:
VASP energy = -7.084 eV/atom
space-group type = F-43m
ΔH_f (0 K) = -814 meV per atom
total magnetic moment = 7.17 μB per cell

```
data_SrGdPtAu
_chemical_formula_sum 'Sr1 Gd1 Pt1 Au1'
_symmetry_space_group_name_H-M 'P 1'
_symmetry_Int_Tables_number 1
_cell_length_a 5.163
_cell_length_b 5.163
_cell_length_c 5.163
_cell_angle_alpha 60.00
_cell_angle_beta 60.00
_cell_angle_gamma 60.00
loop_
_symmetry_equiv_pos_as_xyz
'x,y,z'
loop_
_atom_site_label
_atom_site_type_symbol
_atom_site_fract_x
_atom_site_fract_y
_atom_site_fract_z
Pt1 Pt 0.500 0.500 0.500
Au1 Au 0.000 0.000 0.000
Sr1 Sr 0.750 0.750 0.750
Gd1 Gd 0.250 0.250 0.250
```

***

# 4
Here is a relaxed structure of GdThPtAu from Alexandria via LeMat-Bulk. Energies are from PBE.

Computed properties:
VASP energy = -8.583 eV/atom
space-group type = F-43m
ΔH_f (0 K) = -878 meV per atom
total magnetic moment = 7.30 μB per cell

```
data_GdThPtAu
_chemical_formula_sum 'Gd1 Th1 Pt1 Au1'
_symmetry_space_group_name_H-M 'P 1'
_symmetry_Int_Tables_number 1
_cell_length_a 5.139
_cell_length_b 5.139
_cell_length_c 5.139
_cell_angle_alpha 60.00
_cell_angle_beta 60.00
_cell_angle_gamma 60.00
loop_
_symmetry_equiv_pos_as_xyz
'x,y,z'
loop_
_atom_site_label
_atom_site_type_symbol
_atom_site_fract_x
_atom_site_fract_y
_atom_site_fract_z
Pt1 Pt 0.500 0.500 0.500
Gd1 Gd 0.250 0.250 0.250
Th1 Th 0.750 0.750 0.750
Au1 Au 0.000 0.000 0.000
```

***

# 5
Here is a relaxed structure of GdTlPtAu from Alexandria via LeMat-Bulk. Energies are from PBE.

Computed properties:
VASP energy = -7.047 eV/atom
space-group type = F-43m
ΔH_f (0 K) = -606 meV per atom
total magnetic moment = 7.04 μB per cell

```
data_GdTlPtAu
_chemical_formula_sum 'Gd1 Tl1 Pt1 Au1'
_symmetry_space_group_name_H-M 'P 1'
_symmetry_Int_Tables_number 1
_cell_length_a 4.965
_cell_length_b 4.965
_cell_length_c 4.965
_cell_angle_alpha 60.00
_cell_angle_beta 60.00
_cell_angle_gamma 60.00
loop_
_symmetry_equiv_pos_as_xyz
'x,y,z'
loop_
_atom_site_label
_atom_site_type_symbol
_atom_site_fract_x
_atom_site_fract_y
_atom_site_fract_z
Pt1 Pt 0.750 0.750 0.750
Tl1 Tl 0.500 0.500 0.500
Gd1 Gd 0.000 0.000 0.000
Au1 Au 0.250 0.250 0.250
```

***

# 6
Here is a relaxed structure of GdYPtAu from Alexandria via LeMat-Bulk. Energies are from PBE.

Computed properties:
VASP energy = -8.471 eV/atom
space-group type = F-43m
ΔH_f (0 K) = -1005 meV per atom
total magnetic moment = 7.12 μB per cell

```
data_GdYPtAu
_chemical_formula_sum 'Gd1 Y1 Pt1 Au1'
_symmetry_space_group_name_H-M 'P 1'
_symmetry_Int_Tables_number 1
_cell_length_a 5.044
_cell_length_b 5.044
_cell_length_c 5.044
_cell_angle_alpha 60.00
_cell_angle_beta 60.00
_cell_angle_gamma 60.00
loop_
_symmetry_equiv_pos_as_xyz
'x,y,z'
loop_
_atom_site_label
_atom_site_type_symbol
_atom_site_fract_x
_atom_site_fract_y
_atom_site_fract_z
Pt1 Pt 0.500 0.500 0.500
Gd1 Gd 0.750 0.750 0.750
Y1 Y 0.250 0.250 0.250
Au1 Au 0.000 0.000 0.000
```

***

# 7
Here is a relaxed structure of GdZnPtAu from Alexandria via LeMat-Bulk. Energies are from PBE.

Computed properties:
VASP energy = -6.861 eV/atom
space-group type = F-43m
ΔH_f (0 K) = -693 meV per atom
total magnetic moment = 7.10 μB per cell

```
data_GdZnPtAu
_chemical_formula_sum 'Gd1 Zn1 Pt1 Au1'
_symmetry_space_group_name_H-M 'P 1'
_symmetry_Int_Tables_number 1
_cell_length_a 4.804
_cell_length_b 4.804
_cell_length_c 4.804
_cell_angle_alpha 60.00
_cell_angle_beta 60.00
_cell_angle_gamma 60.00
loop_
_symmetry_equiv_pos_as_xyz
'x,y,z'
loop_
_atom_site_label
_atom_site_type_symbol
_atom_site_fract_x
_atom_site_fract_y
_atom_site_fract_z
Gd1 Gd 0.000 0.000 0.000
Au1 Au 0.250 0.250 0.250
Pt1 Pt 0.750 0.750 0.750
Zn1 Zn 0.500 0.500 0.500
```

***

# 8
Here is a relaxed structure of GdPuAu4 from Alexandria via LeMat-Bulk. Energies are from PBE.

Computed properties:
VASP energy = -7.327 eV/atom
space-group type = F-43m
ΔH_f (0 K) = -406 meV per atom
total magnetic moment = 1.17 μB per cell

```
data_GdPuAu4
_chemical_formula_sum 'Gd1 Pu1 Au4'
_symmetry_space_group_name_H-M 'P 1'
_symmetry_Int_Tables_number 1
_cell_length_a 5.693
_cell_length_b 5.693
_cell_length_c 5.693
_cell_angle_alpha 60.00
_cell_angle_beta 60.00
_cell_angle_gamma 60.00
loop_
_symmetry_equiv_pos_as_xyz
'x,y,z'
loop_
_atom_site_label
_atom_site_type_symbol
_atom_site_fract_x
_atom_site_fract_y
_atom_site_fract_z
Au1 Au 0.125 0.625 0.625
Pu1 Pu 0.250 0.250 0.250
Gd1 Gd 0.000 0.000 0.000
Au2 Au 0.625 0.625 0.125
Au3 Au 0.625 0.125 0.625
Au4 Au 0.625 0.625 0.625
```

***

# 9
Here is a relaxed structure of GdPuAu from Alexandria via LeMat-Bulk. Energies are from PBE.

Computed properties:
VASP energy = -10.603 eV/atom
space-group type = P-6m2
ΔH_f (0 K) = -40 meV per atom
total magnetic moment = 12.88 μB per cell

```
data_GdPuAu
_chemical_formula_sum 'Gd1 Pu1 Au1'
_symmetry_space_group_name_H-M 'P 1'
_symmetry_Int_Tables_number 1
_cell_length_a 3.005
_cell_length_b 5.178
_cell_length_c 5.178
_cell_angle_alpha 120.00
_cell_angle_beta 90.00
_cell_angle_gamma 90.00
loop_
_symmetry_equiv_pos_as_xyz
'x,y,z'
loop_
_atom_site_label
_atom_site_type_symbol
_atom_site_fract_x
_atom_site_fract_y
_atom_site_fract_z
Pu1 Pu 0.500 0.667 0.333
Au1 Au 0.000 0.000 0.000
Gd1 Gd 0.500 0.333 0.667
```

***

# 10
Here is a relaxed structure of Gd2PuAu from Alexandria via LeMat-Bulk. Energies are from PBE.

Computed properties:
VASP energy = -11.552 eV/atom
space-group type = Fm-3m
ΔH_f (0 K) = -110 meV per atom
total magnetic moment = 21.77 μB per cell

```
data_Gd2PuAu
_chemical_formula_sum 'Gd2 Pu1 Au1'
_symmetry_space_group_name_H-M 'P 1'
_symmetry_Int_Tables_number 1
_cell_length_a 5.290
_cell_length_b 5.290
_cell_length_c 5.291
_cell_angle_alpha 60.01
_cell_angle_beta 60.01
_cell_angle_gamma 60.00
loop_
_symmetry_equiv_pos_as_xyz
'x,y,z'
loop_
_atom_site_label
_atom_site_type_symbol
_atom_site_fract_x
_atom_site_fract_y
_atom_site_fract_z
Gd1 Gd 0.250 0.250 0.250
Gd2 Gd 0.750 0.750 0.750
Au1 Au 0.500 0.500 0.500
Pu1 Pu 0.000 0.000 0.000
```

***

# 11
Here is a relaxed structure of GdPuRuAu from Alexandria via LeMat-Bulk. Energies are from PBE.

Computed properties:
VASP energy = -10.553 eV/atom
space-group type = F-43m
ΔH_f (0 K) = -311 meV per atom
total magnetic moment = 1.75 μB per cell

```
data_GdPuRuAu
_chemical_formula_sum 'Gd1 Pu1 Ru1 Au1'
_symmetry_space_group_name_H-M 'P 1'
_symmetry_Int_Tables_number 1
_cell_length_a 4.983
_cell_length_b 4.983
_cell_length_c 4.983
_cell_angle_alpha 60.00
_cell_angle_beta 60.00
_cell_angle_gamma 60.00
loop_
_symmetry_equiv_pos_as_xyz
'x,y,z'
loop_
_atom_site_label
_atom_site_type_symbol
_atom_site_fract_x
_atom_site_fract_y
_atom_site_fract_z
Pu1 Pu 0.000 0.000 0.000
Au1 Au 0.250 0.250 0.250
Gd1 Gd 0.500 0.500 0.500
Ru1 Ru 0.750 0.750 0.750
```

***

# 12
Here is a relaxed structure of GdPuSiAu from Alexandria via LeMat-Bulk. Energies are from PBE.

Computed properties:
VASP energy = -9.749 eV/atom
space-group type = F-43m
total magnetic moment = 1.04 μB per cell

```
data_GdPuSiAu
_chemical_formula_sum 'Gd1 Pu1 Si1 Au1'
_symmetry_space_group_name_H-M 'P 1'
_symmetry_Int_Tables_number 1
_cell_length_a 5.103
_cell_length_b 5.103
_cell_length_c 5.103
_cell_angle_alpha 60.00
_cell_angle_beta 60.00
_cell_angle_gamma 60.00
loop_
_symmetry_equiv_pos_as_xyz
'x,y,z'
loop_
_atom_site_label
_atom_site_type_symbol
_atom_site_fract_x
_atom_site_fract_y
_atom_site_fract_z
Gd1 Gd 0.250 0.250 0.250
Pu1 Pu 0.750 0.750 0.750
Au1 Au 0.000 0.000 0.000
Si1 Si 0.500 0.500 0.500
```